# 1
Computed, not measured: crystalline AgAs2Ir at its relaxed geometry at the PBE level of DFT.

The calculation puts the total energy at -5.12 eV/atom. For the formation energy, the calculation gives 134 meV per atom. The excess energy over the best structure of this formula in the dataset is 0.1258 eV per atom.

```
AgAs2Ir
1.0
2.932 0.000 0.000
0.000 4.793 0.000
0.000 0.000 10.955
Ag As Ir
2 4 2
Direct
0.000 0.000 0.000
0.500 0.500 0.500
0.000 0.500 0.186
0.000 0.500 0.814
0.500 0.000 0.314
0.500 0.000 0.686
0.000 0.000 0.500
0.500 0.500 0.000
```

# 2
Computed, not measured: crystalline AgAs2Ir at its relaxed geometry at the PBE level of DFT.

The calculation puts the total energy at -4.95 eV/atom. For the formation energy, the calculation gives 304 meV per atom. The excess energy over the best structure of this formula in the dataset is 0.2962 eV per atom.

```
AgAs2Ir
1.0
6.174 0.000 0.000
0.000 6.914 0.000
0.000 0.000 3.168
Ag As Ir
2 4 2
Direct
0.000 0.000 0.000
0.500 0.500 0.000
0.250 0.250 0.500
0.250 0.750 0.500
0.750 0.250 0.500
0.750 0.750 0.500
0.000 0.500 0.000
0.500 0.000 0.000
```

# 3
Computed, not measured: crystalline AgAs2Ir at its relaxed geometry at the PBE level of DFT.

The calculation puts the total energy at -5.11 eV/atom. For the formation energy, the calculation gives 143 meV per atom. The excess energy over the best structure of this formula in the dataset is 0.1353 eV per atom.

```
AgAs2Ir
1.0
2.959 0.000 0.000
0.000 3.971 0.000
0.000 0.000 12.735
Ag As Ir
2 4 2
Direct
0.000 0.000 0.000
0.500 0.500 0.500
0.000 0.000 0.615
0.000 0.500 0.840
0.500 0.000 0.340
0.500 0.500 0.115
0.000 0.500 0.276
0.500 0.000 0.776
```

# 4
Computed, not measured: crystalline AgAs2Ir at its relaxed geometry at the PBE level of DFT.

The calculation puts the total energy at -4.99 eV/atom. For the formation energy, the calculation gives 260 meV per atom. The excess energy over the best structure of this formula in the dataset is 0.2515 eV per atom.

```
AgAs2Ir
1.0
2.851 0.000 0.000
0.000 5.034 0.000
0.000 0.000 9.974
Ag As Ir
2 4 2
Direct
0.000 0.000 0.000
0.500 0.500 0.000
0.000 0.500 0.280
0.000 0.500 0.720
0.500 0.000 0.280
0.500 0.000 0.720
0.000 0.000 0.500
0.500 0.500 0.500
```

# 5
Computed, not measured: crystalline AgAs2Ir at its relaxed geometry at the PBE level of DFT.

The calculation puts the total energy at -5.09 eV/atom. For the formation energy, the calculation gives 162 meV per atom. The excess energy over the best structure of this formula in the dataset is 0.1540 eV per atom.

```
AgAs2Ir
1.0
9.732 0.000 0.000
0.000 3.606 0.000
-1.275 0.000 4.899
Ag As Ir
2 4 2
Direct
0.000 0.000 0.000
0.500 0.500 0.000
0.181 0.500 0.823
0.318 0.500 0.460
0.681 0.000 0.823
0.818 0.000 0.460
0.303 0.000 0.144
0.803 0.500 0.144
```

# 6
Computed, not measured: crystalline AgAs2Ir at its relaxed geometry at the PBE level of DFT.

The calculation puts the total energy at -5.02 eV/atom. For the formation energy, the calculation gives 232 meV per atom. The excess energy over the best structure of this formula in the dataset is 0.2238 eV per atom.

```
AgAs2Ir
1.0
3.000 0.000 0.000
0.000 4.090 0.000
0.000 0.000 5.615
Ag As Ir
1 2 1
Direct
0.000 0.000 0.000
0.000 0.000 0.530
0.500 0.500 0.189
0.500 0.500 0.670
```

# 7
Computed, not measured: crystalline AgAs2Ir at its relaxed geometry at the PBE level of DFT.

The calculation puts the total energy at -5.24 eV/atom. For the formation energy, the calculation gives 8 meV per atom. The excess energy over the best structure of this formula in the dataset is 0.0000 eV per atom.

```
AgAs2Ir
1.0
7.348 0.000 0.000
0.000 2.944 0.000
-2.285 0.000 7.360
Ag As Ir
2 4 2
Direct
0.000 0.000 0.000
0.500 0.500 0.000
0.156 0.500 0.312
0.344 0.000 0.688
0.656 0.000 0.312
0.844 0.500 0.688
0.000 0.000 0.500
0.500 0.500 0.500
```

# 8
Computed, not measured: crystalline AgAs2Ir at its relaxed geometry at the PBE level of DFT.

The calculation puts the total energy at -4.69 eV/atom. For the formation energy, the calculation gives 567 meV per atom. The excess energy over the best structure of this formula in the dataset is 0.5588 eV per atom.

```
AgAs2Ir
1.0
6.498 0.000 0.000
0.000 6.498 0.000
0.000 0.000 6.498
Ag As Ir
4 8 4
Direct
0.000 0.000 0.000
0.000 0.500 0.500
0.500 0.000 0.500
0.500 0.500 0.000
0.000 0.000 0.500
0.000 0.500 0.000
0.250 0.250 0.750
0.250 0.750 0.250
0.500 0.000 0.000
0.500 0.500 0.500
0.750 0.250 0.250
0.750 0.750 0.750
0.250 0.250 0.250
0.250 0.750 0.750
0.750 0.250 0.750
0.750 0.750 0.250
```

Q: Which value of excess energy over the best structure of this formula in the dataset does entry 8 give?
A: 0.5588 eV per atom